No. 1
VASP calculation (GGA-PBE) on crystalline TiMn2Be at its relaxed geometry.

It has space group I-42d (No. 122), with a = 6.409 Å, b = 6.409 Å, c = 4.963 Å, α = 90.00°, β = 90.00° and γ = 90.00°. The distinct sites, in fractional coordinates, are Ti at (0.000, 0.000, 0.000), Mn at (0.214, 0.250, 0.625) and Be at (0.000, 0.000, 0.500).

The calculation puts the energy of formation from the pure elements at 0.345 eV/atom. The size of the total moment is 15.71 Bohr magnetons per cell. The calculated volume comes out at 51.0 Å³/f.u.

=====

No. 2
VASP calculation (GGA-PBE) on crystalline Ti4MnBe3 at its relaxed geometry.

It has space group P4/mmm (No. 123), with a = 2.978 Å, b = 2.978 Å, c = 11.569 Å, α = 90.00°, β = 90.00° and γ = 90.00°. The distinct sites, in fractional coordinates, are Ti at (0.000, 0.000, 0.123), Ti at (0.000, 0.000, 0.375), Mn at (0.500, 0.500, 0.000), Be at (0.500, 0.500, 0.250) and Be at (0.500, 0.500, 0.500).

The calculation puts the energy of formation from the pure elements at -0.190 eV/atom. The size of the total moment is 0.00 Bohr magnetons per cell. The calculated volume comes out at 102.6 Å³/f.u.

=====

No. 3
VASP calculation (GGA-PBE) on crystalline Ti2MnBe2 at its relaxed geometry.

It has space group P4/mbm (No. 127), with a = 6.096 Å, b = 6.096 Å, c = 3.269 Å, α = 90.00°, β = 90.00° and γ = 90.00°. The distinct sites, in fractional coordinates, are Ti at (0.182, 0.318, 0.000), Mn at (0.000, 0.000, 0.500) and Be at (0.120, 0.620, 0.500).

The calculation puts the energy of formation from the pure elements at -0.073 eV/atom. The size of the total moment is 0.01 Bohr magnetons per cell. The calculated volume comes out at 60.7 Å³/f.u.

=====

No. 4
VASP calculation (GGA-PBE) on crystalline TiMn2Be at its relaxed geometry.

It has space group P4/mmm (No. 123), with a = 3.834 Å, b = 3.834 Å, c = 3.240 Å, α = 90.00°, β = 90.00° and γ = 90.00°. The distinct sites, in fractional coordinates, are Ti at (0.000, 0.000, 0.000), Mn at (0.000, 0.500, 0.500) and Be at (0.500, 0.500, 0.000).

The calculation puts the energy of formation from the pure elements at -0.091 eV/atom. The size of the total moment is 3.50 Bohr magnetons per cell. The calculated volume comes out at 47.6 Å³/f.u.

=====

no.,raw total energy (Ry/atom)
1,-0.5251
2,-0.4911
3,-0.4818
4,-0.5572